## NaTcPdF6 (PBE)

Data for NaTcPdF6 after structural relaxation.

Unit cell a=5.7405 b=5.7405 c=9.3905 alpha=90.00 beta=90.00 gamma=120.00
Space group P-31c (No. 163)
Asymmetric unit:
1 Na 0.3333 0.6667 0.2500
2 Tc 0.3333 0.6667 0.7500
3 Pd 0.0000 0.0000 0.0000
4 F 0.0442 0.3790 0.6336

Properties
* Fermi-level density of states: 0.664 states/eV/atom
* magnetic moment: 8.0 μB per cell
* energy relative to the elements, uncorrected: -1.90 eV per atom

## NaTiPd2F (PBE)

Data for NaTiPd2F after structural relaxation.

Unit cell a=4.9839 b=4.9839 c=3.7148 alpha=90.00 beta=90.00 gamma=90.00
Space group P4/mmm (No. 123)
Asymmetric unit:
1 Na 0.0000 0.0000 0.0000
2 Ti 0.5000 0.5000 0.0000
3 Pd 0.0000 0.5000 0.5000
4 F 0.5000 0.5000 0.5000

Properties
* Fermi-level density of states: 0.991 states/eV/atom
* magnetic moment: 0.0 μB per cell
* energy relative to the elements, uncorrected: -0.28 eV per atom

## NaTlPdF6 (PBE)

Data for NaTlPdF6 after structural relaxation.

Unit cell a=5.1550 b=5.1550 c=10.4826 alpha=90.00 beta=90.00 gamma=90.00
Space group P4_2nm (No. 102)
Asymmetric unit:
1 Na 0.0000 0.0000 0.0000
2 Tl 0.0000 0.0000 0.3328
3 Pd 0.0000 0.0000 0.6671
4 F 0.1865 0.1865 0.5010
5 F 0.1965 0.1965 0.8269
6 F 0.2000 0.2000 0.1730

Properties
* magnetic moment: 4.0 μB per cell
* energy relative to the elements, uncorrected: -1.82 eV per atom

## NaZnPd2F6 (PBE)

Data for NaZnPd2F6 after structural relaxation.

Unit cell a=5.6589 b=5.6620 c=6.1005 alpha=117.62 beta=90.04 gamma=119.96
Space group P1 (No. 1)
Asymmetric unit:
1 Na 0.0000 0.0000 0.0000
2 Zn 0.4902 0.9802 0.4705
3 Pd 0.2924 0.5847 0.8777
4 Pd 0.7985 0.5967 0.3956
5 F 0.1129 0.8012 0.2011
6 F 0.2275 0.8068 0.6649
7 F 0.3993 0.5123 0.2010
8 F 0.5798 0.4372 0.6649
9 F 0.6880 0.0871 0.2009
10 F 0.8577 0.0850 0.6653

Properties
* Fermi-level density of states: 0.514 states/eV/atom
* magnetic moment: 3.0 μB per cell
* energy relative to the elements, uncorrected: -1.62 eV per atom

## NaPm2F6 (PBE)

Data for NaPm2F6 after structural relaxation.

Unit cell a=6.0807 b=6.3612 c=9.8057 alpha=90.00 beta=122.88 gamma=90.00
Space group P2_1/c (No. 14)
Asymmetric unit:
1 Na 0.0000 0.0000 0.0000
2 Pm 0.2732 0.0138 0.7652
3 F 0.0120 0.1856 0.2015
4 F 0.3486 0.1436 0.0098
5 F 0.3694 0.7060 0.6839

Properties
* Fermi-level density of states: 0.075 states/eV/atom
* magnetic moment: 2.0 μB per cell
* energy relative to the elements, uncorrected: -3.51 eV per atom

## Na2Pm2F7 (PBE)

Data for Na2Pm2F7 after structural relaxation.

Unit cell a=8.4090 b=7.7931 c=5.7997 alpha=90.00 beta=94.03 gamma=90.00
Space group C2/m (No. 12)
Asymmetric unit:
1 Na 0.0000 0.2389 0.0000
2 Pm 0.2316 0.0000 0.5093
3 F 0.0000 0.5000 0.5000
4 F 0.0083 0.0000 0.7308
5 F 0.2406 0.2453 0.2718

Properties
* Fermi-level density of states: 0.111 states/eV/atom
* magnetic moment: 1.3 μB per cell
* energy relative to the elements, uncorrected: -3.41 eV per atom

## Na3Pm5F12 (PBE)

Data for Na3Pm5F12 after structural relaxation.

Unit cell a=14.5375 b=14.5375 c=14.5375 alpha=90.00 beta=90.00 gamma=90.00
Space group Ia-3d (No. 230)
Asymmetric unit:
1 Na 0.0000 0.2500 0.1250
2 Pm 0.0000 0.0000 0.0000
3 Pm 0.0000 0.2500 0.3750
4 F 0.0029 0.0307 0.1591

Properties
* Fermi-level density of states: 0.305 states/eV/atom
* magnetic moment: 4.0 μB per cell
* energy relative to the elements, uncorrected: -3.06 eV per atom

## NaPm2F8 (PBE)

Data for NaPm2F8 after structural relaxation.

Unit cell a=13.9596 b=3.9379 c=5.7832 alpha=90.00 beta=114.16 gamma=90.00
Space group C2/m (No. 12)
Asymmetric unit:
1 Na 0.0000 0.0000 0.0000
2 Pm 0.1677 0.5000 0.6747
3 F 0.0192 0.5000 0.7542
4 F 0.0987 0.0000 0.4408
5 F 0.1753 0.0000 0.9512
6 F 0.2144 0.5000 0.3246

Properties
* Fermi-level density of states: 0.482 states/eV/atom
* magnetic moment: 2.1 μB per cell
* energy relative to the elements, uncorrected: -3.44 eV per atom

## Na2Pm2F7 (PBE)

Data for Na2Pm2F7 after structural relaxation.

Unit cell a=7.8173 b=7.9024 c=5.6149 alpha=90.00 beta=90.00 gamma=90.00
Space group Cmmm (No. 65)
Asymmetric unit:
1 Na 0.0000 0.2308 0.0000
2 Pm 0.2467 0.0000 0.5000
3 F 0.0000 0.0000 0.2606
4 F 0.0000 0.5000 0.0000
5 F 0.2500 0.2500 0.2698

Properties
* Fermi-level density of states: 0.025 states/eV/atom
* magnetic moment: 2.0 μB per cell
* energy relative to the elements, uncorrected: -3.34 eV per atom

## NaPmF3 (PBE)

Data for NaPmF3 after structural relaxation.

Unit cell a=3.8656 b=14.3486 c=5.8853 alpha=90.00 beta=90.00 gamma=90.00
Space group Cmc2_1 (No. 36)
Asymmetric unit:
1 Na 0.0000 0.0432 0.0000
2 Pm 0.0000 0.3017 0.0077
3 F 0.0000 0.1610 0.2673
4 F 0.0000 0.1638 0.7471
5 F 0.0000 0.4599 0.0204

Properties
* Fermi-level density of states: 0.321 states/eV/atom
* magnetic moment: 0.0 μB per cell
* energy relative to the elements, uncorrected: -3.08 eV per atom

## NaPm2F8 (PBE)

Data for NaPm2F8 after structural relaxation.

Unit cell a=12.5071 b=4.1353 c=7.0817 alpha=90.00 beta=106.26 gamma=90.00
Space group C2/m (No. 12)
Asymmetric unit:
1 Na 0.0000 0.0000 0.0000
2 Pm 0.2305 0.0000 0.7379
3 F 0.0561 0.0000 0.7176
4 F 0.0772 0.5000 0.1192
5 F 0.1996 0.5000 0.5437
6 F 0.2235 0.0000 0.0840

Properties
* Fermi-level density of states: 0.306 states/eV/atom
* magnetic moment: 2.1 μB per cell
* energy relative to the elements, uncorrected: -3.38 eV per atom

## Na2PmF6 (PBE)

Data for Na2PmF6 after structural relaxation.

Unit cell a=14.2613 b=4.3346 c=4.3340 alpha=90.00 beta=107.69 gamma=90.00
Space group C2/m (No. 12)
Asymmetric unit:
1 Na 0.2500 0.0000 0.2499
2 Pm 0.0000 0.0000 0.5000
3 F 0.0821 0.0000 0.0825
4 F 0.0821 0.5000 0.5837
5 F 0.1981 0.0000 0.6980

Properties
* Fermi-level density of states: 0.663 states/eV/atom
* magnetic moment: 2.0 μB per cell
* energy relative to the elements, uncorrected: -2.95 eV per atom

## Na2PmF4 (PBE)

Data for Na2PmF4 after structural relaxation.

Unit cell a=4.5691 b=4.5691 c=14.6193 alpha=90.00 beta=90.00 gamma=90.00
Space group I4/mmm (No. 139)
Asymmetric unit:
1 Na 0.0000 0.0000 0.1937
2 Pm 0.0000 0.0000 0.5000
3 F 0.0000 0.0000 0.3456
4 F 0.0000 0.5000 0.0000

Properties
* Fermi-level density of states: 0.174 states/eV/atom
* magnetic moment: 0.0 μB per cell
* energy relative to the elements, uncorrected: -2.92 eV per atom

## NaPm2F6 (PBE)

Data for NaPm2F6 after structural relaxation.

Unit cell a=3.9257 b=3.9257 c=17.4658 alpha=90.00 beta=90.00 gamma=90.00
Space group I4/mmm (No. 139)
Asymmetric unit:
1 Na 0.0000 0.0000 0.0000
2 Pm 0.0000 0.0000 0.3405
3 F 0.0000 0.5000 0.0851
4 F 0.0000 0.5000 0.2500

Properties
* Fermi-level density of states: 0.211 states/eV/atom
* magnetic moment: 1.8 μB per cell
* energy relative to the elements, uncorrected: -3.54 eV per atom

## NaPm2F (PBE)

Data for NaPm2F after structural relaxation.

Unit cell a=3.4963 b=3.4963 c=31.7855 alpha=90.00 beta=90.00 gamma=120.00
Space group R-3m (No. 166, hexagonal axes)
Asymmetric unit:
1 Na 0.0000 0.0000 0.0000
2 Pm 0.0000 0.0000 0.1112
3 F 0.0000 0.0000 0.5000

Properties
* Fermi-level density of states: 1.133 states/eV/atom
* magnetic moment: 0.0 μB per cell
* energy relative to the elements, uncorrected: -0.88 eV per atom

## Na2PmF6 (PBE)

Data for Na2PmF6 after structural relaxation.

Unit cell a=3.9944 b=5.2232 c=12.3910 alpha=90.00 beta=90.00 gamma=90.00
Space group Immm (No. 71)
Asymmetric unit:
1 Na 0.0000 0.0000 0.1722
2 Pm 0.0000 0.0000 0.5000
3 F 0.0000 0.2435 0.3404
4 F 0.0000 0.2561 0.0000

Properties
* Fermi-level density of states: 0.419 states/eV/atom
* magnetic moment: 2.0 μB per cell
* energy relative to the elements, uncorrected: -3.02 eV per atom

## RbNaPmF6 (PBE)

Data for RbNaPmF6 after structural relaxation.

Unit cell a=7.4339 b=8.5062 c=12.1078 alpha=90.00 beta=90.00 gamma=90.00
Space group Imma (No. 74)
Asymmetric unit:
1 Rb 0.0000 0.2500 0.0878
2 Na 0.2500 0.2500 0.7500
3 Pm 0.0000 0.0000 0.5000
4 F 0.0000 0.2500 0.4318
5 F 0.0000 0.2500 0.8606
6 F 0.2224 0.0533 0.6191

Properties
* Fermi-level density of states: 0.575 states/eV/atom
* magnetic moment: 4.0 μB per cell
* energy relative to the elements, uncorrected: -2.92 eV per atom

## Rb2NaPmF6 (PBE)

Data for Rb2NaPmF6 after structural relaxation.

Unit cell a=6.4442 b=6.4531 c=11.1530 alpha=90.00 beta=125.14 gamma=90.00
Space group P2_1/c (No. 14)
Asymmetric unit:
1 Rb 0.2453 0.0239 0.2493
2 Na 0.0000 0.0000 0.5000
3 Pm 0.5000 0.0000 0.0000
4 F 0.1936 0.2123 0.9708
5 F 0.2582 0.7225 0.9696
6 F 0.3127 0.0133 0.7549

Properties
* Fermi-level density of states: 0.000 states/eV/atom
* magnetic moment: 0.3 μB per cell
* energy relative to the elements, uncorrected: -3.29 eV per atom